Compound: CdRhW
Source: the Alexandria database
Functional: PBEsol
Structure: relaxed

As for the formation enthalpy at 0 K: 0.1313 eV/atom. As for the magnetization: 0.00 μB/f.u.

The space group is P3m1 (No. 156) and the conventional cell measures 2.8179, 2.8179 and 6.9909 Å, with angles of 90.00, 90.00 and 120.00 degrees. Symmetry generates all atoms from Cd at (0.0000, 0.0000, 0.0000), Rh at (0.3333, 0.6667, 0.6549) and W at (0.6667, 0.3333, 0.3633).